[1]
PSe2NCl: relaxed, GGA-PBE. Values from VASP.

Structure (Quantum ESPRESSO input):
```
&SYSTEM
  ibrav = 0, nat = 5, ntyp = 4
/
ATOMIC_SPECIES
P 30.97 P.upf
Se 78.96 Se.upf
N 14.01 N.upf
Cl 35.45 Cl.upf
ATOMIC_POSITIONS crystal
P 0.000 0.000 0.000
Se 0.000 0.500 0.000
Se 0.500 0.000 0.000
N 0.000 0.000 0.500
Cl 0.500 0.500 0.500
CELL_PARAMETERS angstrom
5.261 0.000 0.000
0.000 5.261 0.000
0.000 0.000 3.195
```

**Energy relative to the elements, uncorrected**: 0.71 eV/atom
**Final energy**: -19.0 eV per cell
**Crystal system**: tetragonal

[2]
BaSbTe2Ru: relaxed, GGA-PBE. Values from VASP.

Structure (Quantum ESPRESSO input):
```
&SYSTEM
  ibrav = 0, nat = 5, ntyp = 4
/
ATOMIC_SPECIES
Ba 137.33 Ba.upf
Sb 121.76 Sb.upf
Te 127.60 Te.upf
Ru 101.07 Ru.upf
ATOMIC_POSITIONS crystal
Ba 0.000 0.000 0.000
Sb 0.000 0.000 0.500
Te 0.000 0.500 0.000
Te 0.500 0.000 0.000
Ru 0.500 0.500 0.500
CELL_PARAMETERS angstrom
6.336 0.000 0.000
0.000 6.336 0.000
0.000 0.000 6.257
```

**Energy relative to the elements, uncorrected**: 1.50 eV/atom
**Final energy**: -14.1 eV per cell
**Crystal system**: tetragonal

[3]
Cs12Na7Hg: relaxed, GGA-PBE. Values from VASP.

Structure (Quantum ESPRESSO input):
```
&SYSTEM
  ibrav = 0, nat = 20, ntyp = 3
/
ATOMIC_SPECIES
Cs 132.91 Cs.upf
Na 22.99 Na.upf
Hg 200.59 Hg.upf
ATOMIC_POSITIONS crystal
Cs 0.033 0.222 0.320
Cs 0.212 0.688 0.402
Cs 0.222 0.320 0.033
Cs 0.312 0.598 0.788
Cs 0.320 0.033 0.222
Cs 0.402 0.212 0.688
Cs 0.598 0.788 0.312
Cs 0.680 0.967 0.778
Cs 0.688 0.402 0.212
Cs 0.778 0.680 0.967
Cs 0.788 0.312 0.598
Cs 0.967 0.778 0.680
Na 0.000 0.113 0.629
Na 0.000 0.887 0.371
Na 0.113 0.629 0.000
Na 0.371 0.000 0.887
Na 0.500 0.500 0.500
Na 0.629 0.000 0.113
Na 0.887 0.371 0.000
Hg 0.000 0.000 0.000
CELL_PARAMETERS angstrom
10.276 5.933 4.300
-10.276 5.933 4.300
0.000 -11.865 4.300
```

**Final energy**: -19.6 eV per cell
**Crystal system**: trigonal
**Formation enthalpy at 0 K**: 0.0071 eV/atom

[4]
Tb2Pr6Tm: relaxed, GGA-PBE. Values from VASP.

Structure (Quantum ESPRESSO input):
```
&SYSTEM
  ibrav = 0, nat = 9, ntyp = 3
/
ATOMIC_SPECIES
Tb 158.93 Tb.upf
Pr 140.91 Pr.upf
Tm 168.93 Tm.upf
ATOMIC_POSITIONS crystal
Tb 0.174 0.826 0.000
Tb 0.826 0.174 0.000
Pr 0.160 0.491 0.500
Pr 0.315 0.315 0.000
Pr 0.491 0.160 0.500
Pr 0.509 0.840 0.500
Pr 0.685 0.685 0.000
Pr 0.840 0.509 0.500
Tm 0.000 0.000 0.500
CELL_PARAMETERS angstrom
4.753 -8.938 0.000
4.753 8.938 0.000
0.000 0.000 3.684
```

**Final energy**: -41.3 eV per cell
**Crystal system**: orthorhombic
**Formation enthalpy at 0 K**: 0.1282 eV/atom

[5]
FeHgP2S: relaxed, GGA-PBE. Values from VASP.

Structure (Quantum ESPRESSO input):
```
&SYSTEM
  ibrav = 0, nat = 5, ntyp = 4
/
ATOMIC_SPECIES
Fe 55.84 Fe.upf
Hg 200.59 Hg.upf
P 30.97 P.upf
S 32.06 S.upf
ATOMIC_POSITIONS crystal
Fe 0.000 0.000 0.000
Hg 0.500 0.500 0.500
P 0.000 0.500 0.500
P 0.500 0.000 0.500
S 0.500 0.500 0.000
CELL_PARAMETERS angstrom
4.950 0.000 0.000
0.000 4.950 0.000
0.000 0.000 4.990
```

**Energy relative to the elements, uncorrected**: 1.62 eV/atom
**Final energy**: -15.6 eV per cell
**Crystal system**: tetragonal

[6]
Te2PAu: relaxed, GGA-PBE. Values from VASP.

Structure (Quantum ESPRESSO input):
```
&SYSTEM
  ibrav = 0, nat = 4, ntyp = 3
/
ATOMIC_SPECIES
Te 127.60 Te.upf
P 30.97 P.upf
Au 196.97 Au.upf
ATOMIC_POSITIONS crystal
Te 0.000 0.000 0.000
Te 0.250 0.250 0.250
P 0.750 0.750 0.750
Au 0.500 0.500 0.500
CELL_PARAMETERS angstrom
0.000 3.555 3.555
3.555 0.000 3.555
3.555 3.555 0.000
```

**Energy relative to the elements, uncorrected**: 0.60 eV/atom
**Final energy**: -12.6 eV per cell
**Crystal system**: cubic